1.
# PBE-GGA Li2Tb2Mg3, optimized geometry
data_Li2Tb2Mg3
_symmetry_space_group_name_H-M 'P 1'
_symmetry_Int_Tables_number 1
_cell_length_a 12.052
_cell_length_b 12.052
_cell_length_c 3.610
_cell_angle_alpha 90.00
_cell_angle_beta 90.00
_cell_angle_gamma 160.82
loop_
_symmetry_equiv_pos_as_xyz
'x,y,z'
loop_
_atom_site_label
_atom_site_type_symbol
_atom_site_fract_x
_atom_site_fract_y
_atom_site_fract_z
Li1 Li 0.215 0.785 0.000
Li2 Li 0.785 0.215 0.000
Tb1 Tb 0.077 0.923 0.000
Tb2 Tb 0.923 0.077 0.000
Mg1 Mg 0.337 0.663 0.500
Mg2 Mg 0.500 0.500 0.500
Mg3 Mg 0.663 0.337 0.500
# E_tot   -18.008 eV for the cell shown
# Size of the total moment   0.000 μB per formula unit
# D(E_F)   5.21 states/eV/cell
# Formation energy   -0.019 eV per atom

---

2.
# PBE-GGA Li4TbMg5, optimized geometry
data_Li4TbMg5
_symmetry_space_group_name_H-M 'P 1'
_symmetry_Int_Tables_number 1
_cell_length_a 3.488
_cell_length_b 3.488
_cell_length_c 17.935
_cell_angle_alpha 90.00
_cell_angle_beta 90.00
_cell_angle_gamma 90.00
loop_
_symmetry_equiv_pos_as_xyz
'x,y,z'
loop_
_atom_site_label
_atom_site_type_symbol
_atom_site_fract_x
_atom_site_fract_y
_atom_site_fract_z
Li1 Li 0.000 0.000 0.093
Li2 Li 0.000 0.000 0.281
Li3 Li 0.000 0.000 0.719
Li4 Li 0.000 0.000 0.907
Tb1 Tb 0.000 0.000 0.500
Mg1 Mg 0.500 0.500 0.000
Mg2 Mg 0.500 0.500 0.186
Mg3 Mg 0.500 0.500 0.373
Mg4 Mg 0.500 0.500 0.627
Mg5 Mg 0.500 0.500 0.814
# E_tot   -20.805 eV for the cell shown
# Size of the total moment   0.101 μB per formula unit
# D(E_F)   5.89 states/eV/cell
# Formation energy   -0.055 eV per atom

---

3.
# PBE-GGA Li2TbMg4, optimized geometry
data_Li2TbMg4
_symmetry_space_group_name_H-M 'P 1'
_symmetry_Int_Tables_number 1
_cell_length_a 11.303
_cell_length_b 11.303
_cell_length_c 3.113
_cell_angle_alpha 90.00
_cell_angle_beta 90.00
_cell_angle_gamma 155.79
loop_
_symmetry_equiv_pos_as_xyz
'x,y,z'
loop_
_atom_site_label
_atom_site_type_symbol
_atom_site_fract_x
_atom_site_fract_y
_atom_site_fract_z
Li1 Li 0.219 0.781 0.000
Li2 Li 0.781 0.219 0.000
Tb1 Tb 0.500 0.500 0.500
Mg1 Mg 0.081 0.919 0.000
Mg2 Mg 0.347 0.653 0.500
Mg3 Mg 0.653 0.347 0.500
Mg4 Mg 0.919 0.081 0.000
# E_tot   -14.901 eV for the cell shown
# Size of the total moment   0.001 μB per formula unit
# D(E_F)   5.97 states/eV/cell
# Formation energy   -0.009 eV per atom

---

> The lowest size of the total moment belongs to which entry?

Li2Tb2Mg3

---

> What is the formula in the third record?

Li2TbMg4

---

Repeat the second record exactly.
# PBE-GGA Li4TbMg5, optimized geometry
data_Li4TbMg5
_symmetry_space_group_name_H-M 'P 1'
_symmetry_Int_Tables_number 1
_cell_length_a 3.488
_cell_length_b 3.488
_cell_length_c 17.935
_cell_angle_alpha 90.00
_cell_angle_beta 90.00
_cell_angle_gamma 90.00
loop_
_symmetry_equiv_pos_as_xyz
'x,y,z'
loop_
_atom_site_label
_atom_site_type_symbol
_atom_site_fract_x
_atom_site_fract_y
_atom_site_fract_z
Li1 Li 0.000 0.000 0.093
Li2 Li 0.000 0.000 0.281
Li3 Li 0.000 0.000 0.719
Li4 Li 0.000 0.000 0.907
Tb1 Tb 0.000 0.000 0.500
Mg1 Mg 0.500 0.500 0.000
Mg2 Mg 0.500 0.500 0.186
Mg3 Mg 0.500 0.500 0.373
Mg4 Mg 0.500 0.500 0.627
Mg5 Mg 0.500 0.500 0.814
# E_tot   -20.805 eV for the cell shown
# Size of the total moment   0.101 μB per formula unit
# D(E_F)   5.89 states/eV/cell
# Formation energy   -0.055 eV per atom

---

> Look up the formation energy of the second one.

-0.055 eV per atom